PmCdRe PBE-GGA relaxed; DFT formation energy = 1.01 eV per atom; energy above the lowest structure with this stoichiometry = 0.000 eV/atom; calculated total energy = -5.01 eV per atom
1.0
3.4383 -3.0577 -1.0758
-1.0649 -4.1404 -2.0130
1.1305 -0.7898 -4.5196
Pm Cd Re
1 1 1
Direct
0.2500 0.2500 0.2500 Pm
0.0000 0.0000 0.0000 Cd
0.7500 0.7500 0.7500 Re